DFT (GGA-PBE) results for a relaxed structure of Zr2Bi2Sb.

## Properties
energy above the most stable polymorph in this dataset = 0 meV per atom
total energy = -6.12 eV per atom
formation energy from raw total energies = -323.3 meV per atom

Unit cell a=7.959 b=7.959 c=4.090 alpha=90.00 beta=90.00 gamma=90.00
Fractional positions:
Sb 0.000 0.000 0.000
Sb 0.500 0.500 0.000
Bi 0.146 0.646 0.500
Bi 0.646 0.854 0.500
Bi 0.854 0.354 0.500
Bi 0.354 0.146 0.500
Zr 0.347 0.847 0.000
Zr 0.847 0.653 0.000
Zr 0.653 0.153 0.000
Zr 0.153 0.347 0.000